No. 1
## SmPa2Co (GGA-PBE)

Data for a geometry-optimized SmPa2Co structure.

abc: 6.597 6.597 6.597
angles: 39.81 39.81 39.81
Fractional positions:
Sm  0.000  0.000  0.000
Pa  0.203  0.203  0.203
Pa  0.797  0.797  0.797
Co  0.500  0.500  0.500

Values from the calculation:
Spin magnetization, μB/cell: 0.00
Uncorrected energy, eV/cell: -29.5
Formation energy from the elements, eV/atom: 0.338
Crystal system: trigonal

---

No. 2
## RePIr2 (GGA-PBE)

Data for a geometry-optimized RePIr2 structure.

abc: 4.709 4.709 2.768
angles: 90.00 90.00 110.78
Fractional positions:
Re  0.000  0.000  0.000
P  0.500  0.500  0.000
Ir  0.000  0.500  0.500
Ir  0.500  0.000  0.500

Values from the calculation:
Spin magnetization, μB/cell: 0.00
Uncorrected energy, eV/cell: -34.8
Formation energy from the elements, eV/atom: 0.204
Crystal system: orthorhombic

---

No. 3
## Na2BiClO2 (GGA-PBE)

Data for a geometry-optimized Na2BiClO2 structure.

abc: 4.516 4.516 6.240
angles: 90.00 90.00 90.00
Fractional positions:
Na  0.000  0.000  0.214
Na  0.000  0.000  0.786
Bi  0.500  0.500  0.000
Cl  0.500  0.500  0.500
O  0.000  0.500  0.000
O  0.500  0.000  0.000

Values from the calculation:
Spin magnetization, μB/cell: 0.00
E_form (uncorrected), eV per atom: -1.24
Uncorrected energy, eV/cell: -25.7
Crystal system: tetragonal

---

No. 4
## Li4TaTe (GGA-PBE)

Data for a geometry-optimized Li4TaTe structure.

abc: 5.267 5.267 5.267
angles: 60.00 60.00 60.00
Fractional positions:
Li  0.122  0.122  0.122
Li  0.122  0.122  0.633
Li  0.122  0.633  0.122
Li  0.633  0.122  0.122
Ta  0.750  0.750  0.750
Te  0.500  0.500  0.500

Values from the calculation:
Spin magnetization, μB/cell: 3.24
E_form (uncorrected), eV per atom: 0.33
Uncorrected energy, eV/cell: -20.6
Crystal system: cubic